[1]
VASP calculation (GGA-PBE) on a relaxed Pr2GaNi2 crystal.

a = 5.5650 Å, b = 5.5650 Å, c = 5.5650 Å
α = 134.64°, β = 121.13°, γ = 77.31°
Fractional coordinates of all 5 atoms:
Pr (0.2008, 0.2008, 0.0000)
Pr (0.7992, 0.7992, 0.0000)
Ga (0.5000, 0.0000, 0.5000)
Ni (0.2373, 0.5000, 0.7373)
Ni (0.7627, 0.5000, 0.2627)

Summary:
ρ (g/cm³): 7.63
DOS(E_F) (states/eV/cell): 4.81
Raw total energy (eV for the cell shown): -26.376
Space-group type: Immm



[2]
VASP calculation (GGA-PBE) on a relaxed PrGa2Ni9 crystal.

a = 8.0711 Å, b = 8.0711 Å, c = 2.7873 Å
α = 90.00°, β = 90.00°, γ = 120.00°
Fractional coordinates of all 12 atoms:
Pr (0.0000, 0.0000, 0.0000)
Ga (0.3333, 0.6667, 0.0000)
Ga (0.6667, 0.3333, 0.0000)
Ni (0.0000, 0.5000, 0.0000)
Ni (0.1883, 0.3766, 0.5000)
Ni (0.1883, 0.8117, 0.5000)
Ni (0.3766, 0.1883, 0.5000)
Ni (0.5000, 0.0000, 0.0000)
Ni (0.5000, 0.5000, 0.0000)
Ni (0.6234, 0.8117, 0.5000)
Ni (0.8117, 0.1883, 0.5000)
Ni (0.8117, 0.6234, 0.5000)

Summary:
ρ (g/cm³): 8.54
DOS(E_F) (states/eV/cell): 17.61
Raw total energy (eV for the cell shown): -63.431
Space-group type: P6/mmm



[3]
VASP calculation (GGA-PBE) on a relaxed Pr3Ga7Ni2 crystal.

a = 13.2813 Å, b = 13.2813 Å, c = 4.3144 Å
α = 90.00°, β = 90.00°, γ = 161.32°
Fractional coordinates of all 12 atoms:
Pr (0.0000, 0.0000, 0.0000)
Pr (0.1795, 0.8205, 0.0000)
Pr (0.8205, 0.1795, 0.0000)
Ga (0.0885, 0.9115, 0.5000)
Ga (0.2765, 0.7235, 0.5000)
Ga (0.4109, 0.5891, 0.0000)
Ga (0.5000, 0.5000, 0.5000)
Ga (0.5891, 0.4109, 0.0000)
Ga (0.7235, 0.2765, 0.5000)
Ga (0.9115, 0.0885, 0.5000)
Ni (0.3668, 0.6332, 0.5000)
Ni (0.6332, 0.3668, 0.5000)

Summary:
ρ (g/cm³): 7.00
DOS(E_F) (states/eV/cell): 7.72
Raw total energy (eV for the cell shown): -53.393
Space-group type: Cmmm



[4]
VASP calculation (GGA-PBE) on a relaxed Pr2Ga2Ni crystal.

a = 5.9919 Å, b = 5.9919 Å, c = 11.4079 Å
α = 115.93°, β = 115.93°, γ = 40.45°
Fractional coordinates of all 10 atoms:
Pr (0.0916, 0.0916, 0.3847)
Pr (0.2896, 0.2896, 0.8539)
Pr (0.7104, 0.7104, 0.1461)
Pr (0.9084, 0.9084, 0.6153)
Ga (0.0428, 0.0428, 0.9156)
Ga (0.3773, 0.3773, 0.3841)
Ga (0.6227, 0.6227, 0.6159)
Ga (0.9572, 0.9572, 0.0844)
Ni (0.4282, 0.4282, 0.1867)
Ni (0.5718, 0.5718, 0.8133)

Summary:
ρ (g/cm³): 6.78
DOS(E_F) (states/eV/cell): 9.60
Raw total energy (eV for the cell shown): -48.008
Space-group type: C2/m



[5]
VASP calculation (GGA-PBE) on a relaxed Pr3Ga5Ni6 crystal.

a = 4.1122 Å, b = 12.3194 Å, c = 9.7593 Å
α = 90.00°, β = 90.00°, γ = 90.00°
Fractional coordinates of all 28 atoms:
Pr (0.2500, 0.0864, 0.2476)
Pr (0.2500, 0.4136, 0.2476)
Pr (0.2500, 0.7500, 0.2546)
Pr (0.7500, 0.2500, 0.7454)
Pr (0.7500, 0.5864, 0.7524)
Pr (0.7500, 0.9136, 0.7524)
Ga (0.2500, 0.0796, 0.6409)
Ga (0.2500, 0.4204, 0.6409)
Ga (0.2500, 0.6289, 0.9873)
Ga (0.2500, 0.7500, 0.6133)
Ga (0.2500, 0.8711, 0.9873)
Ga (0.7500, 0.1289, 0.0127)
Ga (0.7500, 0.2500, 0.3867)
Ga (0.7500, 0.3711, 0.0127)
Ga (0.7500, 0.5796, 0.3591)
Ga (0.7500, 0.9204, 0.3591)
Ni (0.2500, 0.0563, 0.9008)
Ni (0.2500, 0.2500, 0.5107)
Ni (0.2500, 0.2500, 0.9856)
Ni (0.2500, 0.4437, 0.9008)
Ni (0.2500, 0.5783, 0.4920)
Ni (0.2500, 0.9217, 0.4920)
Ni (0.7500, 0.0783, 0.5080)
Ni (0.7500, 0.4217, 0.5080)
Ni (0.7500, 0.5563, 0.0992)
Ni (0.7500, 0.7500, 0.0144)
Ni (0.7500, 0.7500, 0.4893)
Ni (0.7500, 0.9437, 0.0992)

Summary:
ρ (g/cm³): 7.55
DOS(E_F) (states/eV/cell): 19.29
Raw total energy (eV for the cell shown): -142.001
Space-group type: Pmmn



[6]
VASP calculation (GGA-PBE) on a relaxed Pr4Ga5Ni3 crystal.

a = 7.7967 Å, b = 7.7967 Å, c = 9.2500 Å
α = 115.02°, β = 115.02°, γ = 33.12°
Fractional coordinates of all 12 atoms:
Pr (0.0410, 0.0410, 0.3151)
Pr (0.2440, 0.2440, 0.8163)
Pr (0.7560, 0.7560, 0.1837)
Pr (0.9590, 0.9590, 0.6849)
Ga (0.2909, 0.2909, 0.5086)
Ga (0.4121, 0.4121, 0.3926)
Ga (0.5000, 0.5000, 0.0000)
Ga (0.5879, 0.5879, 0.6074)
Ga (0.7091, 0.7091, 0.4914)
Ni (0.0000, 0.0000, 0.0000)
Ni (0.3915, 0.3915, 0.1236)
Ni (0.6085, 0.6085, 0.8764)

Summary:
ρ (g/cm³): 6.55
DOS(E_F) (states/eV/cell): 7.42
Raw total energy (eV for the cell shown): -55.957
Space-group type: C2/m



[7]
VASP calculation (GGA-PBE) on a relaxed PrGa4Ni4 crystal.

a = 5.7309 Å, b = 5.7309 Å, c = 8.4760 Å
α = 90.00°, β = 90.00°, γ = 90.00°
Fractional coordinates of all 18 atoms:
Pr (0.2500, 0.7500, 0.2500)
Pr (0.7500, 0.2500, 0.7500)
Ga (0.0330, 0.2500, 0.0618)
Ga (0.2500, 0.0330, 0.5618)
Ga (0.2500, 0.4670, 0.5618)
Ga (0.4670, 0.2500, 0.0618)
Ga (0.5330, 0.7500, 0.9382)
Ga (0.7500, 0.5330, 0.4382)
Ga (0.7500, 0.9670, 0.4382)
Ga (0.9670, 0.7500, 0.9382)
Ni (0.0286, 0.2500, 0.3486)
Ni (0.2500, 0.0286, 0.8486)
Ni (0.2500, 0.4714, 0.8486)
Ni (0.4714, 0.2500, 0.3486)
Ni (0.5286, 0.7500, 0.6514)
Ni (0.7500, 0.5286, 0.1514)
Ni (0.7500, 0.9714, 0.1514)
Ni (0.9714, 0.7500, 0.6514)

Summary:
ρ (g/cm³): 7.81
DOS(E_F) (states/eV/cell): 10.61
Raw total energy (eV for the cell shown): -87.876
Space-group type: P4_2/nmc



[8]
VASP calculation (GGA-PBE) on a relaxed Pr2Ga3Ni4 crystal.

a = 8.1968 Å, b = 8.1968 Å, c = 7.0577 Å
α = 90.00°, β = 90.00°, γ = 140.10°
Fractional coordinates of all 18 atoms:
Pr (0.1070, 0.8930, 0.9154)
Pr (0.3930, 0.6070, 0.4154)
Pr (0.6070, 0.3930, 0.5846)
Pr (0.8930, 0.1070, 0.0846)
Ga (0.0000, 0.0000, 0.5000)
Ga (0.0174, 0.4826, 0.7500)
Ga (0.4826, 0.0174, 0.2500)
Ga (0.5000, 0.5000, 0.0000)
Ga (0.5174, 0.9826, 0.7500)
Ga (0.9826, 0.5174, 0.2500)
Ni (0.1724, 0.8276, 0.5069)
Ni (0.1791, 0.3209, 0.7500)
Ni (0.3209, 0.1791, 0.2500)
Ni (0.3276, 0.6724, 0.0069)
Ni (0.6724, 0.3276, 0.9931)
Ni (0.6791, 0.8209, 0.7500)
Ni (0.8209, 0.6791, 0.2500)
Ni (0.8276, 0.1724, 0.4931)

Summary:
ρ (g/cm³): 7.92
DOS(E_F) (states/eV/cell): 14.41
Raw total energy (eV for the cell shown): -91.872
Space-group type: Cmce



[9]
VASP calculation (GGA-PBE) on a relaxed Pr3Ga3Ni crystal.

a = 6.0346 Å, b = 6.0346 Å, c = 14.4857 Å
α = 108.16°, β = 108.16°, γ = 42.60°
Fractional coordinates of all 14 atoms:
Pr (0.0275, 0.0275, 0.3867)
Pr (0.1060, 0.1060, 0.9176)
Pr (0.2439, 0.2439, 0.2343)
Pr (0.7561, 0.7561, 0.7657)
Pr (0.8940, 0.8940, 0.0824)
Pr (0.9725, 0.9725, 0.6133)
Ga (0.3371, 0.3371, 0.4591)
Ga (0.3956, 0.3956, 0.9255)
Ga (0.4534, 0.4534, 0.7597)
Ga (0.5466, 0.5466, 0.2403)
Ga (0.6044, 0.6044, 0.0745)
Ga (0.6629, 0.6629, 0.5409)
Ni (0.2559, 0.2559, 0.6030)
Ni (0.7441, 0.7441, 0.3970)

Summary:
ρ (g/cm³): 6.82
DOS(E_F) (states/eV/cell): 13.59
Raw total energy (eV for the cell shown): -65.962
Space-group type: C2/m



[10]
VASP calculation (GGA-PBE) on a relaxed Pr8Ga2Ni crystal.

a = 8.8684 Å, b = 8.8684 Å, c = 8.8684 Å
α = 147.55°, β = 118.91°, γ = 70.90°
Fractional coordinates of all 11 atoms:
Pr (0.1207, 0.3405, 0.7802)
Pr (0.1255, 0.1255, 0.0000)
Pr (0.3319, 0.0000, 0.3319)
Pr (0.4397, 0.6595, 0.7802)
Pr (0.5603, 0.3405, 0.2198)
Pr (0.6681, 0.0000, 0.6681)
Pr (0.8745, 0.8745, 0.0000)
Pr (0.8793, 0.6595, 0.2198)
Ga (0.3000, 0.8000, 0.5000)
Ga (0.7000, 0.2000, 0.5000)
Ni (0.0000, 0.5000, 0.5000)

Summary:
ρ (g/cm³): 6.82
DOS(E_F) (states/eV/cell): 13.49
Energy relative to the lowest polymorph listed for this composition (meV per atom): 108
Raw total energy (eV for the cell shown): -51.432
Space-group type: Immm



[11]
VASP calculation (GGA-PBE) on a relaxed Pr3Ga4Ni2 crystal.

a = 5.8837 Å, b = 5.8837 Å, c = 8.6060 Å
α = 108.62°, β = 108.62°, γ = 43.23°
Fractional coordinates of all 9 atoms:
Pr (0.0000, 0.0000, 0.0000)
Pr (0.3226, 0.3226, 0.3559)
Pr (0.6774, 0.6774, 0.6441)
Ga (0.0294, 0.0294, 0.3595)
Ga (0.2632, 0.2632, 0.9177)
Ga (0.7368, 0.7368, 0.0823)
Ga (0.9706, 0.9706, 0.6405)
Ni (0.3975, 0.3975, 0.7314)
Ni (0.6025, 0.6025, 0.2686)

Summary:
ρ (g/cm³): 7.10
DOS(E_F) (states/eV/cell): 4.64
Energy relative to the lowest polymorph listed for this composition (meV per atom): 0
Raw total energy (eV for the cell shown): -43.132
Space-group type: C2/m



[12]
VASP calculation (GGA-PBE) on a relaxed PrGa6Ni6 crystal.

a = 6.5644 Å, b = 6.5644 Å, c = 6.5644 Å
α = 134.86°, β = 100.63°, γ = 96.33°
Fractional coordinates of all 13 atoms:
Pr (0.0000, 0.0000, 0.0000)
Ga (0.1922, 0.6922, 0.5000)
Ga (0.3449, 0.0000, 0.3449)
Ga (0.3477, 0.3477, 0.0000)
Ga (0.6523, 0.6523, 0.0000)
Ga (0.6551, 0.0000, 0.6551)
Ga (0.8078, 0.3078, 0.5000)
Ni (0.0000, 0.0000, 0.5000)
Ni (0.0000, 0.5000, 0.0000)
Ni (0.2399, 0.5000, 0.7399)
Ni (0.5000, 0.0000, 0.0000)
Ni (0.5000, 0.5000, 0.5000)
Ni (0.7601, 0.5000, 0.2601)

Summary:
ρ (g/cm³): 8.18
DOS(E_F) (states/eV/cell): 8.56
Raw total energy (eV for the cell shown): -63.418
Space-group type: Immm



[13]
VASP calculation (GGA-PBE) on a relaxed Pr2Ga8Ni crystal.

a = 4.3503 Å, b = 4.3503 Å, c = 11.4353 Å
α = 90.00°, β = 90.00°, γ = 90.00°
Fractional coordinates of all 11 atoms:
Pr (0.0000, 0.0000, 0.1962)
Pr (0.0000, 0.0000, 0.8038)
Ga (0.0000, 0.5000, 0.0000)
Ga (0.0000, 0.5000, 0.3857)
Ga (0.0000, 0.5000, 0.6143)
Ga (0.5000, 0.0000, 0.0000)
Ga (0.5000, 0.0000, 0.3857)
Ga (0.5000, 0.0000, 0.6143)
Ga (0.5000, 0.5000, 0.1907)
Ga (0.5000, 0.5000, 0.8093)
Ni (0.0000, 0.0000, 0.5000)

Summary:
ρ (g/cm³): 6.89
DOS(E_F) (states/eV/cell): 3.97
Raw total energy (eV for the cell shown): -44.726
Space-group type: P4/mmm



[14]
VASP calculation (GGA-PBE) on a relaxed Pr3Ga2Ni6 crystal.

a = 7.8864 Å, b = 7.8864 Å, c = 7.8864 Å
α = 109.47°, β = 109.47°, γ = 109.47°
Fractional coordinates of all 22 atoms:
Pr (0.0000, 0.2899, 0.2899)
Pr (0.0000, 0.7101, 0.7101)
Pr (0.2899, 0.0000, 0.2899)
Pr (0.2899, 0.2899, 0.0000)
Pr (0.7101, 0.0000, 0.7101)
Pr (0.7101, 0.7101, 0.0000)
Ga (0.0000, 0.0000, 0.5000)
Ga (0.0000, 0.5000, 0.0000)
Ga (0.5000, 0.0000, 0.0000)
Ga (0.5000, 0.5000, 0.5000)
Ni (0.0000, 0.3353, 0.6647)
Ni (0.0000, 0.6647, 0.3353)
Ni (0.3294, 0.6647, 0.6647)
Ni (0.3353, 0.0000, 0.6647)
Ni (0.3353, 0.3353, 0.6706)
Ni (0.3353, 0.6647, 0.0000)
Ni (0.3353, 0.6706, 0.3353)
Ni (0.6647, 0.0000, 0.3353)
Ni (0.6647, 0.3294, 0.6647)
Ni (0.6647, 0.3353, 0.0000)
Ni (0.6647, 0.6647, 0.3294)
Ni (0.6706, 0.3353, 0.3353)

Summary:
ρ (g/cm³): 8.04
DOS(E_F) (states/eV/cell): 14.12
Raw total energy (eV for the cell shown): -119.589
Space-group type: Im-3m



[15]
VASP calculation (GGA-PBE) on a relaxed Pr2Ga6Ni3 crystal.

a = 7.5182 Å, b = 7.5182 Å, c = 4.1370 Å
α = 90.00°, β = 90.00°, γ = 120.00°
Fractional coordinates of all 11 atoms:
Pr (0.3333, 0.6667, 0.0000)
Pr (0.6667, 0.3333, 0.0000)
Ga (0.0000, 0.3090, 0.5000)
Ga (0.0000, 0.7999, 0.0000)
Ga (0.2001, 0.2001, 0.0000)
Ga (0.3090, 0.0000, 0.5000)
Ga (0.6910, 0.6910, 0.5000)
Ga (0.7999, 0.0000, 0.0000)
Ni (0.0000, 0.6372, 0.5000)
Ni (0.3628, 0.3628, 0.5000)
Ni (0.6372, 0.0000, 0.5000)

Summary:
ρ (g/cm³): 7.18
DOS(E_F) (states/eV/cell): 4.74
Raw total energy (eV for the cell shown): -50.514
Space-group type: P-62m



[16]
VASP calculation (GGA-PBE) on a relaxed Pr2Ga5Ni4 crystal.

a = 8.9312 Å, b = 8.0957 Å, c = 5.3517 Å
α = 80.42°, β = 63.36°, γ = 36.22°
Fractional coordinates of all 11 atoms:
Pr (0.1341, 0.1341, 0.8659)
Pr (0.8659, 0.8659, 0.1341)
Ga (0.0000, 0.0000, 0.5000)
Ga (0.2500, 0.2500, 0.2500)
Ga (0.5000, 0.5000, 0.0000)
Ga (0.5000, 0.5000, 0.5000)
Ga (0.7500, 0.7500, 0.7500)
Ni (0.2138, 0.5248, 0.4752)
Ni (0.4752, 0.7862, 0.2138)
Ni (0.5248, 0.2138, 0.7862)
Ni (0.7862, 0.4752, 0.5248)

Summary:
ρ (g/cm³): 7.57
DOS(E_F) (states/eV/cell): 4.47
Raw total energy (eV for the cell shown): -53.534
Space-group type: Fmmm



[17]
VASP calculation (GGA-PBE) on a relaxed PrGa5Ni3 crystal.

a = 6.4870 Å, b = 6.4870 Å, c = 12.3046 Å
α = 90.00°, β = 90.00°, γ = 144.40°
Fractional coordinates of all 18 atoms:
Pr (0.1732, 0.8268, 0.7500)
Pr (0.8268, 0.1732, 0.2500)
Ga (0.0000, 0.0000, 0.0000)
Ga (0.0000, 0.0000, 0.5000)
Ga (0.2053, 0.7947, 0.0680)
Ga (0.2053, 0.7947, 0.4320)
Ga (0.4517, 0.5483, 0.6520)
Ga (0.4517, 0.5483, 0.8480)
Ga (0.5483, 0.4517, 0.1520)
Ga (0.5483, 0.4517, 0.3480)
Ga (0.7947, 0.2053, 0.5680)
Ga (0.7947, 0.2053, 0.9320)
Ni (0.1236, 0.8764, 0.2500)
Ni (0.3923, 0.6077, 0.0339)
Ni (0.3923, 0.6077, 0.4661)
Ni (0.6077, 0.3923, 0.5339)
Ni (0.6077, 0.3923, 0.9661)
Ni (0.8764, 0.1236, 0.7500)

Summary:
ρ (g/cm³): 7.33
DOS(E_F) (states/eV/cell): 8.05
Raw total energy (eV for the cell shown): -82.067
Space-group type: Cmcm



[18]
VASP calculation (GGA-PBE) on a relaxed PrGa4Ni8 crystal.

a = 6.4136 Å, b = 6.4136 Å, c = 6.4136 Å
α = 98.99°, β = 98.99°, γ = 133.42°
Fractional coordinates of all 13 atoms:
Pr (0.0000, 0.0000, 0.0000)
Ga (0.0000, 0.0000, 0.5000)
Ga (0.0000, 0.5000, 0.0000)
Ga (0.5000, 0.0000, 0.0000)
Ga (0.5000, 0.5000, 0.5000)
Ni (0.0000, 0.3536, 0.3536)
Ni (0.0000, 0.6464, 0.6464)
Ni (0.2701, 0.5000, 0.7701)
Ni (0.3536, 0.0000, 0.3536)
Ni (0.5000, 0.2701, 0.7701)
Ni (0.5000, 0.7299, 0.2299)
Ni (0.6464, 0.0000, 0.6464)
Ni (0.7299, 0.5000, 0.2299)

Summary:
ρ (g/cm³): 8.39
DOS(E_F) (states/eV/cell): 8.59
Raw total energy (eV for the cell shown): -67.313
Space-group type: I4/mmm



[19]
VASP calculation (GGA-PBE) on a relaxed PrGa7Ni2 crystal.

a = 7.5718 Å, b = 7.5718 Å, c = 4.2076 Å
α = 90.00°, β = 90.00°, γ = 119.74°
Fractional coordinates of all 10 atoms:
Pr (0.0000, 0.0000, 0.0000)
Ga (0.0396, 0.3389, 0.5000)
Ga (0.2463, 0.7537, 0.0000)
Ga (0.3389, 0.0396, 0.5000)
Ga (0.5000, 0.5000, 0.5000)
Ga (0.6611, 0.9604, 0.5000)
Ga (0.7537, 0.2463, 0.0000)
Ga (0.9604, 0.6611, 0.5000)
Ni (0.3236, 0.6764, 0.5000)
Ni (0.6764, 0.3236, 0.5000)

Summary:
ρ (g/cm³): 5.92
DOS(E_F) (states/eV/cell): 4.88
Raw total energy (eV for the cell shown): -38.790
Space-group type: Cmmm